Record 1
The following is a DFT calculation (GGA-PBE) of an optimized crystal structure of PaZnIr2.

Calculated values
Symmetry: No. 123
Final energy in Ry/atom: -0.5654

```
data_PaZnIr2
_symmetry_space_group_name_H-M 'P 1'
_symmetry_Int_Tables_number 1
_symmetry_space_group_name_Hall 'P 1'
_cell_length_a 3.8179
_cell_length_b 4.2861
_cell_length_c 4.2861
_cell_angle_alpha 90.00
_cell_angle_beta 90.00
_cell_angle_gamma 90.00
loop_
_atom_site_label
_atom_site_type_symbol
_atom_site_fract_x
_atom_site_fract_y
_atom_site_fract_z
Zn1 Zn 0.5000 0.0000 0.0000
Pa1 Pa 0.5000 0.5000 0.5000
Ir1 Ir 0.0000 0.0000 0.5000
Ir2 Ir 0.0000 0.5000 0.0000
```

***

Record 2
The following is a DFT calculation (GGA-PBE) of an optimized crystal structure of TiRePIr2.

Calculated values
Symmetry: No. 123
Final energy in Ry/atom: -0.5111

```
data_TiRePIr2
_symmetry_space_group_name_H-M 'P 1'
_symmetry_Int_Tables_number 1
_symmetry_space_group_name_Hall 'P 1'
_cell_length_a 4.5541
_cell_length_b 4.6127
_cell_length_c 4.5541
_cell_angle_alpha 90.00
_cell_angle_beta 90.00
_cell_angle_gamma 90.00
loop_
_atom_site_label
_atom_site_type_symbol
_atom_site_fract_x
_atom_site_fract_y
_atom_site_fract_z
Re1 Re 0.0000 0.5000 0.0000
Ir1 Ir 0.0000 0.0000 0.5000
Ir2 Ir 0.5000 0.0000 0.0000
P1 P 0.5000 0.5000 0.5000
Ti1 Ti 0.0000 0.0000 0.0000
```

***

Record 3
The following is a DFT calculation (GGA-PBE) of an optimized crystal structure of K2RbAg.

Calculated values
Symmetry: No. 62
Energy above the most stable polymorph in this dataset in meV per atom: 1

```
data_K2RbAg
_symmetry_space_group_name_H-M 'P 1'
_symmetry_Int_Tables_number 1
_symmetry_space_group_name_Hall 'P 1'
_cell_length_a 7.6944
_cell_length_b 11.0739
_cell_length_c 19.8088
_cell_angle_alpha 90.00
_cell_angle_beta 90.00
_cell_angle_gamma 90.00
loop_
_atom_site_label
_atom_site_type_symbol
_atom_site_fract_x
_atom_site_fract_y
_atom_site_fract_z
K1 K 0.0205 0.0606 0.2135
K2 K 0.5205 0.9394 0.2865
K3 K 0.9795 0.5606 0.7865
K4 K 0.4795 0.4394 0.7135
K5 K 0.9795 0.9394 0.7865
K6 K 0.4795 0.0606 0.7135
K7 K 0.0205 0.4394 0.2135
K8 K 0.5205 0.5606 0.2865
K9 K 0.7717 0.5596 0.0423
K10 K 0.2717 0.4404 0.4577
K11 K 0.2283 0.0596 0.9577
K12 K 0.7283 0.9404 0.5423
K13 K 0.2283 0.4404 0.9577
K14 K 0.7283 0.5596 0.5423
K15 K 0.7717 0.9404 0.0423
K16 K 0.2717 0.0596 0.4577
Rb1 Rb 0.4887 0.2500 0.1373
Rb2 Rb 0.9887 0.7500 0.3627
Rb3 Rb 0.5113 0.7500 0.8627
Rb4 Rb 0.0113 0.2500 0.6373
Rb5 Rb 0.7691 0.2500 0.3938
Rb6 Rb 0.2691 0.7500 0.1062
Rb7 Rb 0.2309 0.7500 0.6062
Rb8 Rb 0.7309 0.2500 0.8938
Ag1 Ag 0.3063 0.2500 0.3124
Ag2 Ag 0.8063 0.7500 0.1876
Ag3 Ag 0.6937 0.7500 0.6876
Ag4 Ag 0.1937 0.2500 0.8124
Ag5 Ag 0.9600 0.2500 0.0664
Ag6 Ag 0.4600 0.7500 0.4336
Ag7 Ag 0.0400 0.7500 0.9336
Ag8 Ag 0.5400 0.2500 0.5664
```

***

Record 4
The following is a DFT calculation (GGA-PBE) of an optimized crystal structure of LiCoSn2.

Calculated values
Symmetry: No. 160
Energy above the most stable polymorph in this dataset in meV per atom: 0

```
data_LiCoSn2
_symmetry_space_group_name_H-M 'P 1'
_symmetry_Int_Tables_number 1
_symmetry_space_group_name_Hall 'P 1'
_cell_length_a 4.1901
_cell_length_b 4.1901
_cell_length_c 5.6961
_cell_angle_alpha 68.42
_cell_angle_beta 68.42
_cell_angle_gamma 60.00
loop_
_atom_site_label
_atom_site_type_symbol
_atom_site_fract_x
_atom_site_fract_y
_atom_site_fract_z
Li1 Li 0.4928 0.4928 0.5215
Co1 Co 0.6724 0.6724 0.9829
Sn1 Sn 0.0645 0.0645 0.8064
Sn2 Sn 0.2703 0.2703 0.1892
```

***

Record 5
The following is a DFT calculation (GGA-PBE) of an optimized crystal structure of Ac2AuSe.

Calculated values
Symmetry: No. 166
Energy above the most stable polymorph in this dataset in meV per atom: 8
Formation energy without anion corrections in meV per atom: -1282

```
data_Ac2AuSe
_symmetry_space_group_name_H-M 'P 1'
_symmetry_Int_Tables_number 1
_symmetry_space_group_name_Hall 'P 1'
_cell_length_a 4.4335
_cell_length_b 4.4335
_cell_length_c 8.2384
_cell_angle_alpha 74.39
_cell_angle_beta 74.39
_cell_angle_gamma 60.00
loop_
_atom_site_label
_atom_site_type_symbol
_atom_site_fract_x
_atom_site_fract_y
_atom_site_fract_z
Ac1 Ac 0.7515 0.7515 0.7456
Ac2 Ac 0.2485 0.2485 0.2544
Au1 Au 0.5000 0.5000 0.5000
Se1 Se 0.0000 0.0000 0.0000
```

***

Record 6
The following is a DFT calculation (GGA-PBE) of an optimized crystal structure of K2HgC.

Calculated values
Symmetry: No. 225
Energy above the most stable polymorph in this dataset in meV per atom: 369

```
data_K2HgC
_symmetry_space_group_name_H-M 'P 1'
_symmetry_Int_Tables_number 1
_symmetry_space_group_name_Hall 'P 1'
_cell_length_a 5.5639
_cell_length_b 5.5639
_cell_length_c 5.5639
_cell_angle_alpha 60.00
_cell_angle_beta 60.00
_cell_angle_gamma 60.00
loop_
_atom_site_label
_atom_site_type_symbol
_atom_site_fract_x
_atom_site_fract_y
_atom_site_fract_z
C1 C 0.0000 0.0000 0.0000
K1 K 0.2500 0.2500 0.2500
K2 K 0.7500 0.7500 0.7500
Hg1 Hg 0.5000 0.5000 0.5000
```

***

Record 7
The following is a DFT calculation (GGA-PBE) of an optimized crystal structure of U3Co9GeB2.

Calculated values
Symmetry: No. 164
Final energy in Ry/atom: -0.5840

```
data_U3Co9GeB2
_symmetry_space_group_name_H-M 'P 1'
_symmetry_Int_Tables_number 1
_symmetry_space_group_name_Hall 'P 1'
_cell_length_a 5.2078
_cell_length_b 5.2078
_cell_length_c 8.4921
_cell_angle_alpha 90.00
_cell_angle_beta 90.00
_cell_angle_gamma 120.00
loop_
_atom_site_label
_atom_site_type_symbol
_atom_site_fract_x
_atom_site_fract_y
_atom_site_fract_z
U1 U 0.3333 0.6667 0.6570
U2 U 0.0000 0.0000 0.0000
U3 U 0.6667 0.3333 0.3430
Co1 Co 0.8343 0.1657 0.7159
Co2 Co 0.8343 0.6686 0.7159
Co3 Co 0.3314 0.1657 0.7159
Co4 Co 0.6686 0.8343 0.2841
Co5 Co 0.1657 0.3314 0.2841
Co6 Co 0.1657 0.8343 0.2841
Co7 Co 0.5000 0.0000 0.0000
Co8 Co 0.0000 0.5000 0.0000
Co9 Co 0.5000 0.5000 0.0000
Ge1 Ge 0.0000 0.0000 0.5000
B1 B 0.3333 0.6667 0.1451
B2 B 0.6667 0.3333 0.8549
```

***

Record 8
The following is a DFT calculation (GGA-PBE) of an optimized crystal structure of ReSb2As.

Calculated values
Symmetry: No. 8
Formation energy without anion corrections in meV per atom: 281

```
data_ReSb2As
_symmetry_space_group_name_H-M 'P 1'
_symmetry_Int_Tables_number 1
_symmetry_space_group_name_Hall 'P 1'
_cell_length_a 4.4851
_cell_length_b 4.4851
_cell_length_c 6.8961
_cell_angle_alpha 81.21
_cell_angle_beta 81.21
_cell_angle_gamma 43.60
loop_
_atom_site_label
_atom_site_type_symbol
_atom_site_fract_x
_atom_site_fract_y
_atom_site_fract_z
Re1 Re 0.2532 0.2532 0.3283
As1 As 0.5283 0.5283 0.4261
Sb1 Sb 0.9778 0.9778 0.0737
Sb2 Sb 0.7407 0.7407 0.6719
```

***

Record 9
The following is a DFT calculation (GGA-PBE) of an optimized crystal structure of NaAu.

Calculated values
Symmetry: No. 87
Final energy in Ry/atom: -0.1786

```
data_NaAu
_symmetry_space_group_name_H-M 'P 1'
_symmetry_Int_Tables_number 1
_symmetry_space_group_name_Hall 'P 1'
_cell_length_a 11.4980
_cell_length_b 11.4980
_cell_length_c 2.8362
_cell_angle_alpha 90.00
_cell_angle_beta 90.00
_cell_angle_gamma 90.00
loop_
_atom_site_label
_atom_site_type_symbol
_atom_site_fract_x
_atom_site_fract_y
_atom_site_fract_z
Na1 Na 0.3249 0.1309 0.0000
Na2 Na 0.6751 0.8691 0.0000
Na3 Na 0.8691 0.3249 0.0000
Na4 Na 0.1309 0.6751 0.0000
Na5 Na 0.8249 0.6309 0.5000
Na6 Na 0.1751 0.3691 0.5000
Na7 Na 0.3691 0.8249 0.5000
Na8 Na 0.6309 0.1751 0.5000
Au1 Au 0.1671 0.9335 0.0000
Au2 Au 0.8329 0.0665 0.0000
Au3 Au 0.0665 0.1671 0.0000
Au4 Au 0.9335 0.8329 0.0000
Au5 Au 0.6671 0.4335 0.5000
Au6 Au 0.3329 0.5665 0.5000
Au7 Au 0.5665 0.6671 0.5000
Au8 Au 0.4335 0.3329 0.5000
```

***

Record 10
The following is a DFT calculation (GGA-PBE) of an optimized crystal structure of GaIr2Pb.

Calculated values
Symmetry: No. 122
Energy above the most stable polymorph in this dataset in meV per atom: 122

```
data_GaIr2Pb
_symmetry_space_group_name_H-M 'P 1'
_symmetry_Int_Tables_number 1
_symmetry_space_group_name_Hall 'P 1'
_cell_length_a 4.4999
_cell_length_b 4.4999
_cell_length_c 9.1244
_cell_angle_alpha 75.72
_cell_angle_beta 75.72
_cell_angle_gamma 90.00
loop_
_atom_site_label
_atom_site_type_symbol
_atom_site_fract_x
_atom_site_fract_y
_atom_site_fract_z
Pb1 Pb 0.0000 0.0000 0.0000
Pb2 Pb 0.7500 0.2500 0.5000
Ir1 Ir 0.5050 0.1250 0.2500
Ir2 Ir 0.2450 0.6250 0.2500
Ir3 Ir 0.3750 0.4950 0.7500
Ir4 Ir 0.8750 0.7550 0.7500
Ga1 Ga 0.5000 0.5000 0.0000
Ga2 Ga 0.2500 0.7500 0.5000
```

***

Record 11
The following is a DFT calculation (GGA-PBE) of an optimized crystal structure of LaH6Rh3.

Calculated values
Symmetry: No. 1
Final energy in Ry/atom: -0.3695

```
data_LaH6Rh3
_symmetry_space_group_name_H-M 'P 1'
_symmetry_Int_Tables_number 1
_symmetry_space_group_name_Hall 'P 1'
_cell_length_a 5.0764
_cell_length_b 5.0857
_cell_length_c 5.1138
_cell_angle_alpha 87.86
_cell_angle_beta 121.56
_cell_angle_gamma 121.40
loop_
_atom_site_label
_atom_site_type_symbol
_atom_site_fract_x
_atom_site_fract_y
_atom_site_fract_z
La1 La 0.7993 0.9083 0.6907
H1 H 0.3938 0.4135 0.7809
H2 H 0.2068 0.8196 0.1865
H3 H 0.8009 0.0550 0.1865
H4 H 0.1590 0.7740 0.5740
H5 H 0.7997 0.3835 0.7952
H6 H 0.4433 0.4151 0.2155
Rh1 Rh 0.7991 0.4206 0.1804
Rh2 Rh 0.3012 0.6556 0.9465
Rh3 Rh 0.2971 0.1548 0.4437
```

***

Record 12
The following is a DFT calculation (GGA-PBE) of an optimized crystal structure of ZnPdSe.

Calculated values
Symmetry: No. 187
Formation energy without anion corrections in meV per atom: -136

```
data_ZnPdSe
_symmetry_space_group_name_H-M 'P 1'
_symmetry_Int_Tables_number 1
_symmetry_space_group_name_Hall 'P 1'
_cell_length_a 3.4742
_cell_length_b 3.4719
_cell_length_c 10.3325
_cell_angle_alpha 90.00
_cell_angle_beta 90.00
_cell_angle_gamma 120.02
loop_
_atom_site_label
_atom_site_type_symbol
_atom_site_fract_x
_atom_site_fract_y
_atom_site_fract_z
Pd1 Pd 0.4449 0.8897 0.0000
Pd2 Pd 0.4443 0.8887 0.5000
Se1 Se 0.7775 0.5550 0.3283
Se2 Se 0.7775 0.5550 0.6717
Zn1 Zn 0.1112 0.2224 0.8382
Zn2 Zn 0.1112 0.2224 0.1618
```

***

| no. | spin magnetization (μB/atom) |
| --- | --- |
| 1 | 0.0000 |
| 2 | 0.0000 |
| 3 | 0.0000 |
| 4 | 0.0001 |
| 5 | 0.0000 |
| 6 | 0.5000 |
| 7 | 0.0763 |
| 8 | 0.0000 |
| 9 | 0.0000 |
| 10 | 0.0000 |
| 11 | 0.0000 |
| 12 | 0.0000 |